# 1
Entry from Alexandria via LeMat-Bulk: crystalline Ac2Nd7Er3 at its relaxed geometry (PBE).

Cell and atoms, written as extended XYZ:
```
12
Lattice="-1.249 1.406 3.128 0.489 -5.864 2.832 16.503 7.958 3.012" Properties=species:S:1:pos:R:3 pbc="T T T"
Er -0.380 -2.229 2.980
Er 6.051 -2.512 3.546
Er 10.941 4.606 2.298
Ac 4.973 1.028 3.653
Ac 10.770 2.472 5.319
Nd 14.143 3.411 4.114
Nd 13.167 6.957 4.260
Nd 2.576 -3.457 4.712
Nd 8.052 0.221 5.245
Nd 2.849 -1.317 1.730
Nd 0.000 0.000 0.000
Nd 7.691 3.279 3.726
```

total moment: 0.000 μB/f.u.
volume: 428.7 Å³ per cell
formation energy from the elements: 1.0 eV per formula unit
final energy: -4.5197 eV per atom

# 2
Entry from Alexandria via LeMat-Bulk: crystalline AcNd3Er at its relaxed geometry (PBE).

Cell and atoms, written as extended XYZ:
```
10
Lattice="-0.512 -5.821 -2.414 0.449 -5.043 3.786 -11.440 -3.336 2.190" Properties=species:S:1:pos:R:3 pbc="T T T"
Er -5.749 -3.478 1.327
Er -5.754 -10.722 2.236
Nd -3.200 -5.526 0.114
Nd -2.735 -6.893 3.401
Nd -8.768 -7.307 0.161
Nd -8.303 -8.674 3.448
Nd -3.216 -9.084 0.598
Nd -8.288 -5.116 2.964
Ac -0.051 -7.242 0.916
Ac -11.454 -6.958 2.647
```

total moment: 0.000 μB/f.u.
volume: 399.9 Å³ per cell
formation energy from the elements: 1.9 eV per formula unit
ΔE to the lowest computed polymorph: 325 meV per atom
final energy: -4.2246 eV per atom

# 3
Entry from Alexandria via LeMat-Bulk: crystalline AcNd12Er7 at its relaxed geometry (PBE).

Cell and atoms, written as extended XYZ:
```
20
Lattice="8.597 1.141 1.713 -1.294 8.575 1.713 -1.294 -1.722 8.573" Properties=species:S:1:pos:R:3 pbc="T T T"
Er 0.740 3.386 1.442
Er 3.047 0.694 2.080
Er 2.961 7.300 9.918
Er -0.181 0.718 3.680
Er 5.268 4.607 10.557
Er 6.189 7.276 8.318
Er 3.004 3.997 5.999
Nd 1.443 6.915 6.426
Nd 4.752 7.747 5.112
Nd -0.112 5.864 3.829
Nd 5.664 2.947 2.880
Nd 1.256 0.247 6.886
Nd 4.565 1.079 5.573
Nd 6.241 4.656 5.528
Nd 2.737 2.294 8.856
Nd 3.271 5.699 3.142
Nd 0.344 5.047 9.119
Nd 6.120 2.130 8.169
Nd -0.233 3.338 6.470
Ac 0.000 0.000 0.000
```

total moment: 0.000 μB/f.u.
volume: 690.3 Å³ per cell
formation energy from the elements: 4.4 eV per formula unit
ΔE to the lowest computed polymorph: 0 meV per atom
final energy: -4.4442 eV per atom

# 4
Entry from Alexandria via LeMat-Bulk: crystalline AcNd2Er3 at its relaxed geometry (PBE).

Cell and atoms, written as extended XYZ:
```
12
Lattice="6.763 0.503 -0.503 -1.144 6.685 -0.503 -0.521 -0.667 9.103" Properties=species:S:1:pos:R:3 pbc="T T T"
Er 4.593 4.450 3.803
Er 2.149 1.323 -0.257
Er 2.095 3.884 1.773
Er 0.505 2.072 4.295
Er 3.003 2.637 6.325
Er 2.949 5.198 8.354
Nd 3.872 0.940 3.021
Nd 5.382 2.870 0.525
Nd -0.283 3.651 7.572
Nd 1.226 5.582 5.077
Ac -0.597 5.989 1.773
Ac 5.695 0.533 6.325
```

total moment: 0.000 μB/f.u.
volume: 412.6 Å³ per cell
formation energy from the elements: 0.6 eV per formula unit
final energy: -4.4526 eV per atom

# 5
Entry from Alexandria via LeMat-Bulk: crystalline Ac5Nd4Er at its relaxed geometry (PBE).

Cell and atoms, written as extended XYZ:
```
10
Lattice="3.890 0.000 0.000 0.000 3.890 0.000 0.000 0.000 25.970" Properties=species:S:1:pos:R:3 pbc="T T T"
Ac 1.945 1.945 12.985
Ac 1.945 1.945 7.719
Ac 1.945 1.945 18.251
Ac 1.945 1.945 2.481
Ac 1.945 1.945 23.489
Er 0.000 0.000 0.000
Nd 0.000 0.000 15.620
Nd 0.000 0.000 5.084
Nd 0.000 0.000 20.886
Nd 0.000 0.000 10.350
```

total moment: 0.000 μB/f.u.
volume: 393.0 Å³ per cell
formation energy from the elements: 0.3 eV per formula unit
final energy: -4.3840 eV per atom

# 6
Entry from Alexandria via LeMat-Bulk: crystalline Ac2Nd4Er at its relaxed geometry (PBE).

Cell and atoms, written as extended XYZ:
```
7
Lattice="-5.388 1.325 1.417 -1.702 -1.223 -5.329 2.055 -8.757 4.430" Properties=species:S:1:pos:R:3 pbc="T T T"
Nd -4.514 -5.613 -0.347
Nd -2.694 0.662 0.708
Nd -0.851 -0.611 -2.664
Nd -0.521 -3.042 0.864
Ac -1.110 -6.486 1.843
Ac -3.925 -2.169 -1.325
Er 0.000 0.000 0.000
```

total moment: 0.769 μB/f.u.
volume: 300.8 Å³ per cell
formation energy from the elements: 4.0 eV per formula unit
ΔE to the lowest computed polymorph: 527 meV per atom
final energy: -3.9842 eV per atom

# 7
Entry from Alexandria via LeMat-Bulk: crystalline Ac2Nd5Er2 at its relaxed geometry (PBE).

Cell and atoms, written as extended XYZ:
```
9
Lattice="-3.189 1.773 -0.526 -5.028 -7.950 3.708 2.718 0.016 9.408" Properties=species:S:1:pos:R:3 pbc="T T T"
Er -0.708 -0.258 3.410
Er -4.792 -5.903 9.180
Ac -2.315 -4.591 11.485
Ac -3.185 -1.570 1.106
Nd -3.051 -3.110 8.008
Nd -5.750 -4.772 5.859
Nd 0.000 0.000 0.000
Nd 0.251 -1.388 6.731
Nd -2.449 -3.051 4.582
```

total moment: 0.000 μB/f.u.
volume: 329.1 Å³ per cell
formation energy from the elements: 0.5 eV per formula unit
final energy: -4.5168 eV per atom

# 8
Entry from Alexandria via LeMat-Bulk: crystalline Ac7Nd4Er at its relaxed geometry (PBE).

Cell and atoms, written as extended XYZ:
```
12
Lattice="7.153 -1.744 2.216 0.603 6.078 2.700 2.226 -1.596 11.161" Properties=species:S:1:pos:R:3 pbc="T T T"
Nd 2.630 0.049 4.747
Nd 7.352 2.689 11.330
Nd 4.727 2.638 6.615
Nd 5.256 0.100 9.462
Ac 6.187 -0.842 5.841
Ac 8.291 1.799 7.738
Ac 3.796 3.580 10.236
Ac 3.577 -0.872 1.108
Ac 1.692 0.939 8.339
Ac 4.305 0.985 13.032
Ac 5.678 1.754 3.045
Er 0.000 0.000 0.000
```

total moment: 0.000 μB/f.u.
volume: 485.2 Å³ per cell
formation energy from the elements: 0.5 eV per formula unit
final energy: -4.3218 eV per atom